PBE-GGA HfGaCu, relaxed; space group = Imm2 (44); mass density = 10.59 g/cm³; V = 16.29 A^3/atom; uncorrected energy = -6.0875 eV per atom; formation energy = -0.3953 eV/atom
1.0
5.280 -0.023 0.008
-1.433 5.081 -0.008
-1.677 1.275 3.644
Hf Ga Cu
2 2 2
Cartesian
-2.177 3.724 3.585 Hf
0.995 1.312 3.458 Hf
3.655 1.155 2.307 Ga
0.424 3.873 2.299 Ga
2.172 2.680 1.090 Cu
-1.443 4.894 1.083 Cu

PBE-GGA Hf4Ga5Cu, relaxed; space group = I4 (79); mass density = 10.19 g/cm³; V = 18.36 A^3/atom; uncorrected energy = -6.1249 eV per atom; formation energy = -0.2205 eV/atom
1.0
-3.224 3.872 2.319
-4.673 -2.176 3.771
1.930 2.174 5.687
Hf Ga Cu
4 5 1
Cartesian
-1.604 2.321 6.541 Hf
-4.740 2.734 8.127 Hf
-0.926 0.774 3.433 Hf
-4.062 1.187 5.018 Hf
-2.638 4.504 8.146 Ga
-3.348 0.313 7.524 Ga
-2.344 3.227 4.055 Ga
-3.054 -0.964 3.432 Ga
-2.087 2.507 1.501 Ga
-0.711 0.854 0.511 Cu

PBE-GGA Hf2GaCu3, relaxed; space group = Fmmm (69); mass density = 10.80 g/cm³; V = 15.82 A^3/atom; uncorrected energy = -6.1125 eV per atom; energy relative to the lowest polymorph listed for this composition = 0 meV/atom; formation energy = -0.2421 eV/atom
1.0
-5.159 -0.719 -0.355
2.417 -2.796 -3.687
1.849 -3.969 6.677
Hf Ga Cu
4 2 6
Cartesian
1.448 -4.261 0.484 Hf
-2.072 -2.656 -3.054 Hf
-2.341 -3.223 2.151 Hf
-0.670 -0.859 -0.987 Hf
-1.212 -3.662 -0.473 Ga
0.319 -3.823 3.108 Ga
0.601 -3.228 -2.079 Cu
2.290 -5.293 3.050 Cu
-1.494 -4.256 4.714 Cu
-3.183 -2.191 -0.414 Cu
0.159 -1.900 1.544 Cu
-1.051 -5.585 1.091 Cu

PBE-GGA Hf2GaCu3, relaxed; space group = Imm2 (44); mass density = 10.35 g/cm³; V = 16.50 A^3/atom; uncorrected energy = -5.9565 eV per atom; energy relative to the lowest polymorph listed for this composition = 156 meV/atom; formation energy = -0.0862 eV/atom
1.0
-1.909 2.481 0.731
-3.184 -2.006 -1.510
1.218 -3.274 7.225
Hf Ga Cu
2 1 3
Cartesian
-0.345 -0.789 1.775 Hf
-1.937 -1.004 5.418 Hf
-2.820 -3.808 5.560 Ga
-3.065 -0.947 2.275 Cu
-2.653 -0.006 0.158 Cu
-2.399 -2.847 3.395 Cu

PBE-GGA HfGa6Cu, relaxed; space group = Cmmm (65); mass density = 7.99 g/cm³; V = 17.15 A^3/atom; uncorrected energy = -4.1503 eV per atom; formation energy = -0.1239 eV/atom
1.0
-3.040 2.188 -2.091
1.146 -3.079 -4.887
-4.126 -2.520 3.362
Hf Ga Cu
1 6 1
Cartesian
-3.010 -1.706 -1.808 Hf
-0.385 -2.917 -2.491 Ga
-2.595 -2.682 0.966 Ga
-2.382 -4.475 -1.219 Ga
-0.598 -1.123 -0.306 Ga
-0.947 -0.446 -3.489 Ga
-3.583 -0.166 0.635 Ga
-1.520 1.094 -1.046 Cu

PBE-GGA Hf2Ga2Cu, relaxed; space group = P4/mbm (127); mass density = 10.69 g/cm³; V = 17.40 A^3/atom; uncorrected energy = -6.4118 eV per atom; energy relative to the lowest polymorph listed for this composition = 43 meV/atom; formation energy = -0.4004 eV/atom
1.0
-1.828 -4.021 4.662
5.528 -3.213 -0.603
1.780 2.524 2.875
Hf Cu Ga
4 2 4
Cartesian
4.276 -1.560 1.818 Hf
4.267 -4.097 4.050 Hf
1.204 -3.149 5.115 Hf
1.212 -0.613 2.883 Hf
0.000 0.000 0.000 Cu
1.850 -3.617 2.030 Cu
4.100 -4.218 1.164 Ga
1.958 -5.515 3.629 Ga
-0.400 -3.015 2.895 Ga
1.742 -1.719 0.430 Ga

PBE-GGA Hf2Ga3Cu4, relaxed; space group = Cmce (64); mass density = 9.89 g/cm³; V = 15.31 A^3/atom; uncorrected energy = -5.2699 eV per atom; formation energy = -0.2285 eV/atom
1.0
5.264 0.000 0.000
0.000 7.164 0.000
-2.632 0.000 7.305
Hf Ga Cu
4 6 8
Cartesian
0.000 4.340 1.420 Hf
2.632 2.824 5.886 Hf
0.000 0.758 5.886 Hf
2.632 6.406 1.420 Hf
0.000 0.000 0.000 Ga
2.632 3.582 0.000 Ga
1.316 5.373 3.780 Ga
3.948 1.791 3.525 Ga
1.316 1.791 3.525 Ga
-1.316 5.373 3.780 Ga
1.316 5.373 6.279 Cu
3.948 1.791 1.026 Cu
1.316 1.791 1.026 Cu
-1.316 5.373 6.279 Cu
0.000 7.096 2.477 Cu
2.632 0.068 4.828 Cu
0.000 3.514 4.828 Cu
2.632 3.650 2.477 Cu

PBE-GGA Hf2Ga2Cu, relaxed; space group = Cmc2_1 (36); mass density = 10.77 g/cm³; V = 17.26 A^3/atom; uncorrected energy = -6.3146 eV per atom; energy relative to the lowest polymorph listed for this composition = 141 meV/atom; formation energy = -0.3032 eV/atom
1.0
-2.962 1.306 1.776
-0.450 -4.761 2.750
6.494 2.403 5.223
Hf Ga Cu
4 4 2
Cartesian
-0.316 -3.822 2.283 Hf
1.223 0.812 5.279 Hf
1.786 -2.644 4.922 Hf
3.345 2.210 7.790 Hf
3.690 -0.273 6.353 Ga
1.494 -1.321 7.300 Ga
1.503 -0.628 2.969 Ga
-0.438 1.010 2.364 Ga
3.878 1.974 5.014 Cu
-0.649 -1.473 3.839 Cu

PBE-GGA HfGaCu2, relaxed; space group = Pmmm (47); mass density = 9.83 g/cm³; V = 15.85 A^3/atom; uncorrected energy = -5.4378 eV per atom; formation energy = -0.1447 eV/atom
1.0
4.276 0.000 0.000
0.000 2.829 0.300
0.000 -0.548 5.182
Hf Ga Cu
1 1 2
Cartesian
2.138 1.415 0.150 Hf
2.138 -0.274 2.591 Ga
0.000 -0.133 1.261 Cu
0.000 2.415 4.221 Cu

PBE-GGA HfGa4Cu, relaxed; space group = P2/m (10); mass density = 7.62 g/cm³; V = 18.92 A^3/atom; uncorrected energy = -4.4224 eV per atom; formation energy = -0.0629 eV/atom
1.0
5.735 -0.008 0.005
-0.009 5.727 -0.298
-2.858 -2.492 7.042
Hf Ga Cu
2 8 2
Cartesian
1.427 4.293 -0.222 Hf
4.299 1.425 -0.071 Hf
0.003 0.107 1.961 Ga
-0.005 2.965 1.817 Ga
2.867 0.098 1.969 Ga
2.866 2.966 1.814 Ga
0.001 3.129 4.781 Ga
0.002 0.261 4.935 Ga
2.865 3.120 4.789 Ga
2.873 0.261 4.932 Ga
1.434 1.613 3.375 Cu
-1.429 -1.246 3.521 Cu

PBE-GGA Hf4Ga3Cu, relaxed; space group = Pmm2 (25); mass density = 11.07 g/cm³; V = 18.49 A^3/atom; uncorrected energy = -7.0212 eV per atom; formation energy = -0.3974 eV/atom
1.0
3.799 0.000 0.000
0.000 3.832 0.000
0.000 0.000 10.162
Hf Ga Cu
4 3 1
Cartesian
1.900 1.916 3.558 Hf
0.000 1.916 8.690 Hf
0.000 0.000 1.471 Hf
1.900 0.000 6.584 Hf
0.000 1.916 5.898 Ga
0.000 0.000 4.259 Ga
1.900 0.000 9.379 Ga
1.900 1.916 0.809 Cu

PBE-GGA Hf3Ga4Cu2, relaxed; space group = C2/m (12); mass density = 10.43 g/cm³; V = 16.65 A^3/atom; uncorrected energy = -5.9879 eV per atom; energy relative to the lowest polymorph listed for this composition = 0 meV/atom; formation energy = -0.4146 eV/atom
1.0
4.270 0.000 0.000
-2.135 4.835 -0.517
0.000 -2.705 7.546
Hf Ga Cu
3 4 2
Cartesian
2.135 -0.268 4.903 Hf
0.000 0.000 0.000 Hf
0.000 2.398 2.126 Hf
2.135 1.915 0.206 Ga
0.000 0.216 6.823 Ga
2.135 2.536 4.126 Ga
0.000 -0.405 2.903 Ga
2.135 0.421 2.094 Cu
0.000 1.710 4.936 Cu

- Look up the uncorrected energy of the third one.
  -6.1125 eV per atom

- Among the records above, which one has the highest mass density?
  Hf4Ga3Cu

Please write out number 12 again, unchanged.
PBE-GGA Hf3Ga4Cu2, relaxed; space group = C2/m (12); mass density = 10.43 g/cm³; V = 16.65 A^3/atom; uncorrected energy = -5.9879 eV per atom; energy relative to the lowest polymorph listed for this composition = 0 meV/atom; formation energy = -0.4146 eV/atom
1.0
4.270 0.000 0.000
-2.135 4.835 -0.517
0.000 -2.705 7.546
Hf Ga Cu
3 4 2
Cartesian
2.135 -0.268 4.903 Hf
0.000 0.000 0.000 Hf
0.000 2.398 2.126 Hf
2.135 1.915 0.206 Ga
0.000 0.216 6.823 Ga
2.135 2.536 4.126 Ga
0.000 -0.405 2.903 Ga
2.135 0.421 2.094 Cu
0.000 1.710 4.936 Cu

- formation energy of number 12 (Hf3Ga4Cu2)?
  -0.4146 eV/atom